1.
A plane-wave DFT calculation with PBE was carried out for a geometry-optimized LaSb2PdRh2 structure.

a = 5.030 Å, b = 5.030 Å, c = 5.572 Å
α = 90.00°, β = 90.00°, γ = 90.00°
Positions (direct):
La: 0.000 0.000 0.500
Sb: 0.500 0.000 0.000
Sb: 0.000 0.500 0.000
Pd: 0.000 0.000 0.000
Rh: 0.500 0.500 0.740
Rh: 0.500 0.500 0.260

## Properties
Space-group type = P4/mmm, No. 123
Total moment = 0.0 μB per formula unit
Raw formation energy = -171.8 meV per atom
DOS(E_F) = 0.8697 states/eV per atom
Final energy = -5.683 eV per atom

***

2.
A plane-wave DFT calculation with PBE was carried out for a geometry-optimized La2Si4PdRh3 structure.

a = 4.237 Å, b = 4.237 Å, c = 10.001 Å
α = 90.00°, β = 90.00°, γ = 90.00°
Positions (direct):
La: 0.500 0.000 0.241
La: 0.000 0.500 0.759
Si: 0.500 0.500 0.000
Si: 0.000 0.000 0.000
Si: 0.500 0.000 0.632
Si: 0.000 0.500 0.368
Pd: 0.500 0.500 0.500
Rh: 0.000 0.000 0.500
Rh: 0.500 0.000 0.876
Rh: 0.000 0.500 0.124

## Properties
Space-group type = P-4m2, No. 115
Total moment = 0.0 μB per formula unit
Raw formation energy = -992.9 meV per atom
DOS(E_F) = 0.8479 states/eV per atom
Final energy = -6.872 eV per atom

***

3.
A plane-wave DFT calculation with PBE was carried out for a geometry-optimized La2Si4Pd3Rh structure.

a = 4.264 Å, b = 4.264 Å, c = 10.075 Å
α = 90.00°, β = 90.00°, γ = 90.00°
Positions (direct):
La: 0.500 0.000 0.244
La: 0.000 0.500 0.756
Si: 0.500 0.500 0.000
Si: 0.000 0.000 0.000
Si: 0.500 0.000 0.626
Si: 0.000 0.500 0.374
Pd: 0.000 0.000 0.500
Pd: 0.500 0.000 0.875
Pd: 0.000 0.500 0.125
Rh: 0.500 0.500 0.500

## Properties
Space-group type = P-4m2, No. 115
Total moment = 0.0 μB per formula unit
Raw formation energy = -935.8 meV per atom
DOS(E_F) = 0.6381 states/eV per atom
Final energy = -6.383 eV per atom

***

4.
A plane-wave DFT calculation with PBE was carried out for a geometry-optimized LaSi2PdRh2 structure.

a = 4.509 Å, b = 4.509 Å, c = 5.644 Å
α = 90.00°, β = 90.00°, γ = 90.00°
Positions (direct):
La: 0.000 0.000 0.500
Si: 0.500 0.000 0.000
Si: 0.000 0.500 0.000
Pd: 0.000 0.000 0.000
Rh: 0.500 0.500 0.755
Rh: 0.500 0.500 0.245

## Properties
Space-group type = P4/mmm, No. 123
Total moment = 0.0 μB per formula unit
Raw formation energy = -372.2 meV per atom
DOS(E_F) = 0.6358 states/eV per atom
Final energy = -6.317 eV per atom